# PBE Zr3ScV, relaxed
# ΔE to the lowest computed polymorph in eV per formula unit: 0.000
# E_form in eV/atom: 0.5048
data_Zr3ScV
_chemical_formula_sum 'Zr3 Sc1 V1'
_space_group_name_H-M_alt 'P m -3 m'
_space_group_IT_number 221
_space_group_name_Hall '-P 4 2 3'
_cell_length_a 4.9442
_cell_length_b 4.9442
_cell_length_c 4.9442
_cell_angle_alpha 90.00
_cell_angle_beta 90.00
_cell_angle_gamma 90.00
loop_
_atom_site_label
_atom_site_type_symbol
_atom_site_fract_x
_atom_site_fract_y
_atom_site_fract_z
Zr1 Zr 0.0000 0.0000 0.5000
Sc1 Sc 0.5000 0.5000 0.5000
V1 V 0.0000 0.0000 0.0000

***

# PBE NaSc2Tc, relaxed
# E_form in eV/atom: -0.0852
data_NaSc2Tc
_chemical_formula_sum 'Na1 Sc2 Tc1'
_space_group_name_H-M_alt 'P 4/m m m'
_space_group_IT_number 123
_space_group_name_Hall '-P 4 2'
_cell_length_a 3.2826
_cell_length_b 3.2826
_cell_length_c 8.6963
_cell_angle_alpha 90.00
_cell_angle_beta 90.00
_cell_angle_gamma 90.00
loop_
_atom_site_label
_atom_site_type_symbol
_atom_site_fract_x
_atom_site_fract_y
_atom_site_fract_z
Na1 Na 0.0000 0.0000 0.0000
Sc1 Sc 0.5000 0.5000 0.3266
Tc1 Tc 0.0000 0.0000 0.5000

***

# PBE La3Tb8Ho3, relaxed
# E_form in eV/atom: 0.1005
data_La3Tb8Ho3
_chemical_formula_sum 'La6 Tb16 Ho6'
_space_group_name_H-M_alt 'I m m m'
_space_group_IT_number 71
_space_group_name_Hall '-I 2 2'
_cell_length_a 5.7142
_cell_length_b 10.8324
_cell_length_c 15.2001
_cell_angle_alpha 90.00
_cell_angle_beta 90.00
_cell_angle_gamma 90.00
loop_
_atom_site_label
_atom_site_type_symbol
_atom_site_fract_x
_atom_site_fract_y
_atom_site_fract_z
La1 La 0.0000 0.0000 0.0000
La2 La 0.0000 0.5000 0.3161
Tb1 Tb 0.0000 0.1617 0.2812
Tb2 Tb 0.0000 0.3406 0.1017
Ho1 Ho 0.0000 0.0000 0.5000
Ho2 Ho 0.0000 0.2965 0.5000

***

# PBE SiTc2Te, relaxed
# ΔE to the lowest computed polymorph in eV per formula unit: 0.088
# E_form (uncorrected) in eV/atom: 0.0172
data_SiTc2Te
_chemical_formula_sum 'Si1 Tc2 Te1'
_space_group_name_H-M_alt 'P 4/m m m'
_space_group_IT_number 123
_space_group_name_Hall '-P 4 2'
_cell_length_a 3.1199
_cell_length_b 3.1199
_cell_length_c 6.3434
_cell_angle_alpha 90.00
_cell_angle_beta 90.00
_cell_angle_gamma 90.00
loop_
_atom_site_label
_atom_site_type_symbol
_atom_site_fract_x
_atom_site_fract_y
_atom_site_fract_z
Si1 Si 0.0000 0.0000 0.0000
Tc1 Tc 0.5000 0.5000 0.2268
Te1 Te 0.0000 0.0000 0.5000

***

# PBE Nb2MoOsPb, relaxed
# E_form in eV/atom: 2.6664
data_Nb2MoOsPb
_chemical_formula_sum 'Nb2 Mo1 Os1 Pb1'
_space_group_name_H-M_alt 'P 4/m m m'
_space_group_IT_number 123
_space_group_name_Hall '-P 4 2'
_cell_length_a 5.0248
_cell_length_b 5.0248
_cell_length_c 4.8112
_cell_angle_alpha 90.00
_cell_angle_beta 90.00
_cell_angle_gamma 90.00
loop_
_atom_site_label
_atom_site_type_symbol
_atom_site_fract_x
_atom_site_fract_y
_atom_site_fract_z
Nb1 Nb 0.0000 0.5000 0.0000
Mo1 Mo 0.0000 0.0000 0.5000
Os1 Os 0.5000 0.5000 0.5000
Pb1 Pb 0.5000 0.5000 0.0000

***

# PBE Y3CuAu3, relaxed
# E_form in eV/atom: -0.7113
data_Y3CuAu3
_chemical_formula_sum 'Y6 Cu2 Au6'
_space_group_name_H-M_alt 'I m m 2'
_space_group_IT_number 44
_cell_length_a 3.6906
_cell_length_b 4.5501
_cell_length_c 19.0653
_cell_angle_alpha 90.00
_cell_angle_beta 90.00
_cell_angle_gamma 90.00
loop_
_space_group_symop_operation_xyz
'x,y,z'
'-x,-y,z'
'-x,y,z'
'x,-y,z'
'x+1/2,y+1/2,z+1/2'
'-x+1/2,-y+1/2,z+1/2'
'-x+1/2,y+1/2,z+1/2'
'x+1/2,-y+1/2,z+1/2'
loop_
_atom_site_label
_atom_site_type_symbol
_atom_site_fract_x
_atom_site_fract_y
_atom_site_fract_z
Y1 Y 0.0000 0.0000 0.0000
Y2 Y 0.0000 0.0000 0.3717
Y3 Y 0.0000 0.5000 0.1892
Cu1 Cu 0.0000 0.5000 0.7568
Au1 Au 0.0000 0.0000 0.5323
Au2 Au 0.0000 0.0000 0.8315
Au3 Au 0.0000 0.5000 0.6252

***

# PBE LiNbNi6, relaxed
# ΔE to the lowest computed polymorph in eV per formula unit: 0.171
# E_form in eV/atom: -0.1287
data_LiNbNi6
_chemical_formula_sum 'Li1 Nb1 Ni6'
_space_group_name_H-M_alt 'P -6 m 2'
_space_group_IT_number 187
_space_group_name_Hall 'P -6 2'
_cell_length_a 5.1603
_cell_length_b 5.1603
_cell_length_c 4.1044
_cell_angle_alpha 90.00
_cell_angle_beta 90.00
_cell_angle_gamma 120.00
loop_
_atom_site_label
_atom_site_type_symbol
_atom_site_fract_x
_atom_site_fract_y
_atom_site_fract_z
Li1 Li 0.0000 0.0000 0.0000
Nb1 Nb 0.3333 0.6667 0.5000
Ni1 Ni 0.3339 0.1670 0.5000
Ni2 Ni 0.5066 0.0132 0.0000

***

# PBE La2AgAs3Pd4, relaxed
# E_form in eV/atom: -0.8263
data_La2AgAs3Pd4
_chemical_formula_sum 'La2 Ag1 As3 Pd4'
_space_group_name_H-M_alt 'P -4 m 2'
_space_group_IT_number 115
_cell_length_a 4.3381
_cell_length_b 4.3381
_cell_length_c 10.7310
_cell_angle_alpha 90.00
_cell_angle_beta 90.00
_cell_angle_gamma 90.00
loop_
_space_group_symop_operation_xyz
'x,y,z'
'y,-x,-z'
'-x,-y,z'
'-y,x,-z'
'-x,y,z'
'-y,-x,-z'
'x,-y,z'
'y,x,-z'
loop_
_atom_site_label
_atom_site_type_symbol
_atom_site_fract_x
_atom_site_fract_y
_atom_site_fract_z
La1 La 0.0000 0.5000 0.2405
Ag1 Ag 0.0000 0.0000 0.5000
As1 As 0.0000 0.5000 0.8696
As2 As 0.5000 0.5000 0.5000
Pd1 Pd 0.0000 0.0000 0.0000
Pd2 Pd 0.0000 0.5000 0.6428
Pd3 Pd 0.5000 0.5000 0.0000

***

Number 1: uncorrected energy -7.714 eV per atom. Number 2: uncorrected energy -6.172 eV per atom. Number 3: uncorrected energy -4.582 eV per atom. Number 4: uncorrected energy -7.307 eV per atom. Number 5: uncorrected energy -6.515 eV per atom. Number 6: uncorrected energy -5.471 eV per atom. Number 7: uncorrected energy -5.963 eV per atom. Number 8: uncorrected energy -5.569 eV per atom.